{"formula": "Pm2FeSb", "functional": "PBE", "state": "optimized geometry", "lattice": [[0.000, 3.708, 3.708], [3.708, 0.000, 3.708], [3.708, 3.708, 0.000]], "species": ["Pm", "Pm", "Fe", "Sb"], "fractional_positions": [[0.250, 0.250, 0.250], [0.750, 0.750, 0.750], [0.000, 0.000, 0.000], [0.500, 0.500, 0.500]], "dos_at_fermi_per_ev_cell": 4.93, "formation_energy_uncorrected_ev_per_atom": -0.244, "de_polymorph_mev_per_atom": 39}


{"formula": "PmFeSb", "functional": "PBE", "state": "optimized geometry", "lattice": [[4.474, 0.000, 0.000], [0.000, 3.994, 0.000], [-1.405, 0.000, 7.807]], "species": ["Pm", "Pm", "Fe", "Fe", "Sb", "Sb"], "fractional_positions": [[0.083, 0.250, 0.202], [0.917, 0.750, 0.798], [0.483, 0.250, 0.941], [0.517, 0.750, 0.059], [0.354, 0.250, 0.618], [0.646, 0.750, 0.382]], "dos_at_fermi_per_ev_cell": 4.87, "formation_energy_uncorrected_ev_per_atom": -0.280, "de_polymorph_mev_per_atom": 0}


{"formula": "Pm4FeSb2", "functional": "PBE", "state": "optimized geometry", "lattice": [[-2.462, 2.462, 8.420], [2.462, -2.462, 8.420], [2.462, 2.462, -8.420]], "species": ["Pm", "Pm", "Pm", "Pm", "Fe", "Sb", "Sb"], "fractional_positions": [[0.000, 0.500, 0.500], [0.171, 0.171, 0.000], [0.500, 0.000, 0.500], [0.829, 0.829, 0.000], [0.000, 0.000, 0.000], [0.360, 0.360, 0.000], [0.640, 0.640, 0.000]], "dos_at_fermi_per_ev_cell": 5.68, "formation_energy_uncorrected_ev_per_atom": -0.538}


{"formula": "PmFeSb2", "functional": "PBE", "state": "optimized geometry", "lattice": [[4.739, 0.000, 0.000], [0.000, 4.739, 0.000], [0.000, 0.000, 4.236]], "species": ["Pm", "Fe", "Sb", "Sb"], "fractional_positions": [[0.000, 0.000, 0.000], [0.500, 0.500, 0.000], [0.000, 0.500, 0.500], [0.500, 0.000, 0.500]], "dos_at_fermi_per_ev_cell": 4.11, "formation_energy_uncorrected_ev_per_atom": -0.170, "de_polymorph_mev_per_atom": 0}


{"formula": "PmSc2Fe9", "functional": "PBE", "state": "optimized geometry", "lattice": [[2.500, 1.443, 7.926], [-2.500, 1.443, 7.926], [0.000, -2.887, 7.926]], "species": ["Pm", "Sc", "Sc", "Fe", "Fe", "Fe", "Fe", "Fe", "Fe", "Fe", "Fe", "Fe"], "fractional_positions": [[0.000, 0.000, 0.000], [0.144, 0.144, 0.144], [0.856, 0.856, 0.856], [0.083, 0.586, 0.586], [0.333, 0.333, 0.333], [0.414, 0.414, 0.917], [0.414, 0.917, 0.414], [0.500, 0.500, 0.500], [0.586, 0.083, 0.586], [0.586, 0.586, 0.083], [0.667, 0.667, 0.667], [0.917, 0.414, 0.414]], "dos_at_fermi_per_ev_cell": 10.45, "delta_e_f_mev_per_atom": -130}


{"formula": "PmScZnFe", "functional": "PBE", "state": "optimized geometry", "lattice": [[0.000, 3.418, 3.418], [3.418, 0.000, 3.418], [3.418, 3.418, 0.000]], "species": ["Pm", "Sc", "Zn", "Fe"], "fractional_positions": [[0.000, 0.000, 0.000], [0.500, 0.500, 0.500], [0.750, 0.750, 0.750], [0.250, 0.250, 0.250]], "dos_at_fermi_per_ev_cell": 3.29, "delta_e_f_mev_per_atom": -54}


{"formula": "Pm3Fe5Se12", "functional": "PBE", "state": "optimized geometry", "lattice": [[-7.777, 7.777, 7.777], [7.777, -7.777, 7.777], [7.777, 7.777, -7.777]], "species": ["Pm", "Pm", "Pm", "Pm", "Pm", "Pm", "Pm", "Pm", "Pm", "Pm", "Pm", "Pm", "Fe", "Fe", "Fe", "Fe", "Fe", "Fe", "Fe", "Fe", "Fe", "Fe", "Fe", "Fe", "Fe", "Fe", "Fe", "Fe", "Fe", "Fe", "Fe", "Fe", "Se", "Se", "Se", "Se", "Se", "Se", "Se", "Se", "Se", "Se", "Se", "Se", "Se", "Se", "Se", "Se", "Se", "Se", "Se", "Se", "Se", "Se", "Se", "Se", "Se", "Se", "Se", "Se", "Se", "Se", "Se", "Se", "Se", "Se", "Se", "Se", "Se", "Se", "Se", "Se", "Se", "Se", "Se", "Se", "Se", "Se", "Se", "Se"], "fractional_positions": [[0.125, 0.250, 0.375], [0.125, 0.375, 0.750], [0.250, 0.375, 0.125], [0.250, 0.875, 0.625], [0.375, 0.125, 0.250], [0.375, 0.750, 0.125], [0.625, 0.250, 0.875], [0.625, 0.875, 0.750], [0.750, 0.125, 0.375], [0.750, 0.625, 0.875], [0.875, 0.625, 0.250], [0.875, 0.750, 0.625], [0.000, 0.000, 0.000], [0.000, 0.000, 0.500], [0.000, 0.500, 0.000], [0.000, 0.500, 0.500], [0.125, 0.750, 0.875], [0.125, 0.875, 0.250], [0.250, 0.125, 0.875], [0.250, 0.625, 0.375], [0.375, 0.250, 0.625], [0.375, 0.625, 0.750], [0.500, 0.000, 0.000], [0.500, 0.000, 0.500], [0.500, 0.500, 0.000], [0.500, 0.500, 0.500], [0.625, 0.375, 0.250], [0.625, 0.750, 0.375], [0.750, 0.375, 0.625], [0.750, 0.875, 0.125], [0.875, 0.125, 0.750], [0.875, 0.250, 0.125], [0.025, 0.200, 0.115], [0.025, 0.326, 0.910], [0.084, 0.700, 0.674], [0.084, 0.885, 0.410], [0.090, 0.615, 0.416], [0.090, 0.975, 0.674], [0.115, 0.025, 0.200], [0.115, 0.590, 0.916], [0.174, 0.200, 0.584], [0.174, 0.475, 0.590], [0.200, 0.115, 0.025], [0.200, 0.584, 0.174], [0.300, 0.326, 0.916], [0.300, 0.475, 0.385], [0.326, 0.910, 0.025], [0.326, 0.916, 0.300], [0.385, 0.300, 0.475], [0.385, 0.584, 0.910], [0.410, 0.084, 0.885], [0.410, 0.826, 0.525], [0.416, 0.090, 0.615], [0.416, 0.826, 0.800], [0.475, 0.385, 0.300], [0.475, 0.590, 0.174], [0.525, 0.410, 0.826], [0.525, 0.615, 0.700], [0.584, 0.174, 0.200], [0.584, 0.910, 0.385], [0.590, 0.174, 0.475], [0.590, 0.916, 0.115], [0.615, 0.416, 0.090], [0.615, 0.700, 0.525], [0.674, 0.084, 0.700], [0.674, 0.090, 0.975], [0.700, 0.525, 0.615], [0.700, 0.674, 0.084], [0.800, 0.416, 0.826], [0.800, 0.885, 0.975], [0.826, 0.525, 0.410], [0.826, 0.800, 0.416], [0.885, 0.410, 0.084], [0.885, 0.975, 0.800], [0.910, 0.025, 0.326], [0.910, 0.385, 0.584], [0.916, 0.115, 0.590], [0.916, 0.300, 0.326], [0.975, 0.674, 0.090], [0.975, 0.800, 0.885]], "dos_at_fermi_per_ev_cell": 76.31, "formation_energy_uncorrected_ev_per_atom": -0.736}


{"formula": "PmFeSi2", "functional": "PBE", "state": "optimized geometry", "lattice": [[6.871, 0.000, 0.000], [0.000, 4.002, 0.000], [0.000, 0.000, 9.919]], "species": ["Pm", "Pm", "Pm", "Pm", "Fe", "Fe", "Fe", "Fe", "Si", "Si", "Si", "Si", "Si", "Si", "Si", "Si"], "fractional_positions": [[0.157, 0.250, 0.122], [0.343, 0.750, 0.622], [0.657, 0.250, 0.378], [0.843, 0.750, 0.878], [0.012, 0.750, 0.389], [0.488, 0.250, 0.889], [0.512, 0.750, 0.111], [0.988, 0.250, 0.611], [0.160, 0.250, 0.812], [0.174, 0.250, 0.423], [0.326, 0.750, 0.923], [0.340, 0.750, 0.312], [0.660, 0.250, 0.688], [0.674, 0.250, 0.077], [0.826, 0.750, 0.577], [0.840, 0.750, 0.188]], "dos_at_fermi_per_ev_cell": 7.81, "formation_energy_uncorrected_ev_per_atom": -0.660, "de_polymorph_mev_per_atom": 0}


{"formula": "PmFe5Si3", "functional": "PBE", "state": "optimized geometry", "lattice": [[1.889, -5.984, 0.000], [1.889, 5.984, 0.000], [0.000, 0.000, 11.325]], "species": ["Pm", "Pm", "Fe", "Fe", "Fe", "Fe", "Fe", "Fe", "Fe", "Fe", "Fe", "Fe", "Si", "Si", "Si", "Si", "Si", "Si"], "fractional_positions": [[0.168, 0.832, 0.750], [0.832, 0.168, 0.250], [0.000, 0.000, 0.000], [0.000, 0.000, 0.500], [0.190, 0.810, 0.057], [0.190, 0.810, 0.443], [0.448, 0.552, 0.644], [0.448, 0.552, 0.856], [0.552, 0.448, 0.144], [0.552, 0.448, 0.356], [0.810, 0.190, 0.557], [0.810, 0.190, 0.943], [0.113, 0.887, 0.250], [0.379, 0.621, 0.050], [0.379, 0.621, 0.450], [0.621, 0.379, 0.550], [0.621, 0.379, 0.950], [0.887, 0.113, 0.750]], "dos_at_fermi_per_ev_cell": 16.42, "formation_energy_uncorrected_ev_per_atom": -0.426}


{"formula": "PmFe4Si4", "functional": "PBE", "state": "optimized geometry", "lattice": [[-3.950, 3.950, 2.038], [3.950, -3.950, 2.038], [3.950, 3.950, -2.038]], "species": ["Pm", "Fe", "Fe", "Fe", "Fe", "Si", "Si", "Si", "Si"], "fractional_positions": [[0.000, 0.000, 0.000], [0.113, 0.600, 0.712], [0.400, 0.113, 0.513], [0.600, 0.887, 0.487], [0.887, 0.400, 0.288], [0.216, 0.334, 0.550], [0.334, 0.784, 0.118], [0.666, 0.216, 0.882], [0.784, 0.666, 0.450]], "dos_at_fermi_per_ev_cell": 3.27, "formation_energy_uncorrected_ev_per_atom": -0.478}


{"formula": "Pm2FeSi6", "functional": "PBE", "state": "optimized geometry", "lattice": [[5.768, 0.000, 0.000], [-2.884, 4.995, 0.000], [0.000, 0.000, 5.271]], "species": ["Pm", "Pm", "Fe", "Si", "Si", "Si", "Si", "Si", "Si"], "fractional_positions": [[0.333, 0.667, 0.150], [0.667, 0.333, 0.850], [0.000, 0.000, 0.000], [0.168, 0.336, 0.681], [0.168, 0.832, 0.681], [0.336, 0.168, 0.319], [0.664, 0.832, 0.681], [0.832, 0.168, 0.319], [0.832, 0.664, 0.319]], "dos_at_fermi_per_ev_cell": 3.11, "formation_energy_uncorrected_ev_per_atom": -0.410}


{"formula": "PmFeSi3", "functional": "PBE", "state": "optimized geometry", "lattice": [[2.910, -2.910, 0.000], [2.910, 2.910, 0.000], [-2.900, 0.000, 4.852]], "species": ["Pm", "Fe", "Si", "Si", "Si"], "fractional_positions": [[0.000, 0.000, 0.000], [0.341, 0.341, 0.682], [0.244, 0.745, 0.488], [0.571, 0.571, 0.142], [0.745, 0.244, 0.488]], "dos_at_fermi_per_ev_cell": 2.02, "formation_energy_uncorrected_ev_per_atom": -0.591}


{"formula": "Pm2FeSi5", "functional": "PBE", "state": "optimized geometry", "lattice": [[-2.873, 2.873, 4.497], [2.873, -2.873, 4.497], [2.873, 2.873, -4.497]], "species": ["Pm", "Pm", "Fe", "Si", "Si", "Si", "Si", "Si"], "fractional_positions": [[0.000, 0.500, 0.500], [0.500, 0.000, 0.500], [0.199, 0.199, 0.000], [0.527, 0.527, 0.564], [0.527, 0.962, 0.000], [0.947, 0.947, 0.000], [0.962, 0.527, 0.000], [0.962, 0.962, 0.436]], "dos_at_fermi_per_ev_cell": 3.56, "formation_energy_uncorrected_ev_per_atom": -0.453}


{"formula": "PmFe12Si6", "functional": "PBE", "state": "optimized geometry", "lattice": [[5.219, 3.013, 2.649], [-5.219, 3.013, 2.649], [0.000, -6.026, 2.649]], "species": ["Pm", "Fe", "Fe", "Fe", "Fe", "Fe", "Fe", "Fe", "Fe", "Fe", "Fe", "Fe", "Fe", "Si", "Si", "Si", "Si", "Si", "Si"], "fractional_positions": [[0.000, 0.000, 0.000], [0.124, 0.500, 0.876], [0.124, 0.876, 0.500], [0.164, 0.435, 0.435], [0.435, 0.164, 0.435], [0.435, 0.435, 0.164], [0.500, 0.124, 0.876], [0.500, 0.876, 0.124], [0.565, 0.565, 0.836], [0.565, 0.836, 0.565], [0.836, 0.565, 0.565], [0.876, 0.124, 0.500], [0.876, 0.500, 0.124], [0.245, 0.245, 0.705], [0.245, 0.705, 0.245], [0.295, 0.755, 0.755], [0.705, 0.245, 0.245], [0.755, 0.295, 0.755], [0.755, 0.755, 0.295]], "dos_at_fermi_per_ev_cell": 20.20, "formation_energy_uncorrected_ev_per_atom": -0.244}


{"formula": "PmFeSi2", "functional": "PBE", "state": "optimized geometry", "lattice": [[1.961, 1.132, 5.175], [-1.961, 1.132, 5.175], [0.000, -2.264, 5.175]], "species": ["Pm", "Fe", "Si", "Si"], "fractional_positions": [[0.000, 0.000, 0.000], [0.500, 0.500, 0.500], [0.205, 0.205, 0.205], [0.795, 0.795, 0.795]], "dos_at_fermi_per_ev_cell": 3.19, "formation_energy_uncorrected_ev_per_atom": -0.641, "de_polymorph_mev_per_atom": 19}


{"formula": "PmFe10Si2", "functional": "PBE", "state": "optimized geometry", "lattice": [[4.190, -4.817, 0.000], [4.190, 4.817, 0.000], [0.000, 0.000, 8.213]], "species": ["Pm", "Pm", "Fe", "Fe", "Fe", "Fe", "Fe", "Fe", "Fe", "Fe", "Fe", "Fe", "Fe", "Fe", "Fe", "Fe", "Fe", "Fe", "Fe", "Fe", "Fe", "Fe", "Si", "Si", "Si", "Si"], "fractional_positions": [[0.122, 0.878, 0.750], [0.878, 0.122, 0.250], [0.130, 0.387, 0.750], [0.163, 0.837, 0.103], [0.163, 0.837, 0.397], [0.232, 0.232, 0.000], [0.232, 0.232, 0.500], [0.241, 0.480, 0.250], [0.387, 0.130, 0.250], [0.394, 0.606, 0.576], [0.394, 0.606, 0.924], [0.480, 0.241, 0.750], [0.520, 0.759, 0.250], [0.606, 0.394, 0.076], [0.606, 0.394, 0.424], [0.613, 0.870, 0.750], [0.759, 0.520, 0.750], [0.768, 0.768, 0.000], [0.768, 0.768, 0.500], [0.837, 0.163, 0.603], [0.837, 0.163, 0.897], [0.870, 0.613, 0.250], [0.000, 0.500, 0.000], [0.000, 0.500, 0.500], [0.500, 0.000, 0.000], [0.500, 0.000, 0.500]], "dos_at_fermi_per_ev_cell": 21.35, "formation_energy_uncorrected_ev_per_atom": -0.203}


{"formula": "Pm2FeSi2", "functional": "PBE", "state": "optimized geometry", "lattice": [[5.514, -2.088, 0.000], [5.514, 2.088, 0.000], [-5.202, 0.000, 8.837]], "species": ["Pm", "Pm", "Pm", "Pm", "Fe", "Fe", "Si", "Si", "Si", "Si"], "fractional_positions": [[0.002, 0.002, 0.172], [0.190, 0.190, 0.605], [0.810, 0.810, 0.395], [0.998, 0.998, 0.828], [0.276, 0.276, 0.122], [0.724, 0.724, 0.878], [0.331, 0.331, 0.932], [0.492, 0.492, 0.370], [0.508, 0.508, 0.630], [0.669, 0.669, 0.068]], "dos_at_fermi_per_ev_cell": 6.07, "formation_energy_uncorrected_ev_per_atom": -0.619}


{"formula": "PmFeSi3Tc", "functional": "PBE", "state": "optimized geometry", "lattice": [[3.668, -5.360, 0.000], [3.668, 5.360, 0.000], [0.000, 0.000, 5.554]], "species": ["Pm", "Pm", "Fe", "Fe", "Si", "Si", "Si", "Si", "Si", "Si", "Tc", "Tc"], "fractional_positions": [[0.244, 0.756, 0.750], [0.756, 0.244, 0.250], [0.039, 0.961, 0.250], [0.961, 0.039, 0.750], [0.235, 0.765, 0.250], [0.241, 0.241, 0.000], [0.241, 0.241, 0.500], [0.759, 0.759, 0.000], [0.759, 0.759, 0.500], [0.765, 0.235, 0.750], [0.445, 0.555, 0.250], [0.555, 0.445, 0.750]], "dos_at_fermi_per_ev_cell": 6.54, "formation_energy_uncorrected_ev_per_atom": -0.364}